Material: Er4TlZn3
Method: DFT, PBE-GGA
State: relaxed

The structure in extended XYZ format:
```
8
Lattice="3.703 0.000 0.000 0.000 4.554 0.000 0.000 0.000 11.377" Properties=species:S:1:pos:R:3 pbc="T T T"
Er 0.000 0.000 0.000
Er 0.000 2.277 3.286
Er 1.852 0.000 5.425
Er 1.852 2.277 9.158
Tl 0.000 0.000 8.119
Zn 0.000 2.277 6.343
Zn 1.852 0.000 2.414
Zn 1.852 2.277 0.810
```

Values from the calculation:
Density of states at the Fermi level = 0.8465 states/eV per atom
Formation energy = -6.67 kcal/mol of atoms
SG = Pmm2
Total moment = 0.00 μB per atom
Distance to the lowest polymorph of the same formula = 0.043 eV/atom

***

Material: ErTlZn2
Method: DFT, PBE-GGA
State: relaxed

The structure in extended XYZ format:
```
4
Lattice="0.000 3.481 3.481 3.481 0.000 3.481 3.481 3.481 0.000" Properties=species:S:1:pos:R:3 pbc="T T T"
Er 0.000 0.000 0.000
Tl 3.481 3.481 3.481
Zn 1.741 1.741 1.741
Zn 5.222 5.222 5.222
```

Values from the calculation:
Density of states at the Fermi level = 0.2857 states/eV per atom
Formation energy = -2.91 kcal/mol of atoms
SG = Fm-3m
Total moment = 0.00 μB per atom
Distance to the lowest polymorph of the same formula = 0.066 eV/atom

***

Material: Er6TlZn5
Method: DFT, PBE-GGA
State: relaxed

The structure in extended XYZ format:
```
12
Lattice="2.521 -7.597 0.000 2.521 7.597 0.000 0.000 0.000 7.192" Properties=species:S:1:pos:R:3 pbc="T T T"
Er 0.000 0.000 1.718
Er 0.000 0.000 5.474
Er 2.521 2.597 1.751
Er 2.521 2.597 5.441
Er 2.521 -2.597 1.751
Er 2.521 -2.597 5.441
Tl 2.521 0.000 3.596
Zn 2.521 5.074 0.000
Zn 2.521 5.012 3.596
Zn 2.521 0.000 0.000
Zn 2.521 -5.012 3.596
Zn 2.521 -5.074 0.000
```

Values from the calculation:
Density of states at the Fermi level = 0.9374 states/eV per atom
Formation energy = -7.80 kcal/mol of atoms
SG = Cmmm
Total moment = 0.00 μB per atom

***

Material: Er3TlZn2
Method: DFT, PBE-GGA
State: relaxed

The structure in extended XYZ format:
```
6
Lattice="3.563 0.000 0.000 0.000 3.563 0.000 0.000 0.000 11.160" Properties=species:S:1:pos:R:3 pbc="T T T"
Er 0.000 0.000 0.000
Er 0.000 0.000 3.478
Er 0.000 0.000 7.682
Tl 1.781 1.781 5.580
Zn 1.781 1.781 1.706
Zn 1.781 1.781 9.454
```

Values from the calculation:
Density of states at the Fermi level = 1.0266 states/eV per atom
Formation energy = -7.88 kcal/mol of atoms
SG = P4/mmm
Total moment = 0.00 μB per atom

***

Material: ErTlZn
Method: DFT, PBE-GGA
State: relaxed

The structure in extended XYZ format:
```
18
Lattice="13.704 0.000 0.000 0.000 3.880 0.000 0.000 0.000 7.806" Properties=species:S:1:pos:R:3 pbc="T T T"
Er 0.761 0.000 1.765
Er 3.426 0.000 6.379
Er 6.091 0.000 1.765
Er 7.613 0.000 6.041
Er 10.278 0.000 1.427
Er 12.943 0.000 6.041
Tl 1.534 1.940 4.411
Tl 3.426 1.940 1.200
Tl 5.318 1.940 4.411
Tl 8.386 1.940 3.395
Tl 10.278 1.940 6.605
Tl 12.170 1.940 3.395
Zn 1.186 1.940 7.281
Zn 3.426 0.000 3.335
Zn 5.666 1.940 7.281
Zn 8.038 1.940 0.525
Zn 10.278 0.000 4.471
Zn 12.518 1.940 0.525
```

Values from the calculation:
Density of states at the Fermi level = 0.5477 states/eV per atom
Formation energy = -6.10 kcal/mol of atoms
SG = Pmma
Total moment = 0.00 μB per atom

***

Material: Er3Tl2Zn
Method: DFT, PBE-GGA
State: relaxed

The structure in extended XYZ format:
```
6
Lattice="3.634 0.000 0.000 0.000 3.634 0.000 0.000 0.000 11.438" Properties=species:S:1:pos:R:3 pbc="T T T"
Er 0.000 0.000 0.000
Er 0.000 0.000 4.041
Er 0.000 0.000 7.397
Tl 1.817 1.817 2.029
Tl 1.817 1.817 9.408
Zn 1.817 1.817 5.719
```

Values from the calculation:
Density of states at the Fermi level = 0.7887 states/eV per atom
Formation energy = -7.76 kcal/mol of atoms
SG = P4/mmm
Total moment = 0.03 μB per atom

***

Material: Er12Tl3Zn
Method: DFT, PBE-GGA
State: relaxed

The structure in extended XYZ format:
```
16
Lattice="4.789 0.000 0.000 0.000 4.789 0.000 0.000 0.000 19.108" Properties=species:S:1:pos:R:3 pbc="T T T"
Er 0.000 0.000 0.000
Er 0.000 0.000 4.711
Er 0.000 0.000 9.554
Er 0.000 0.000 14.397
Er 0.000 2.394 2.275
Er 0.000 2.394 7.145
Er 0.000 2.394 11.963
Er 0.000 2.394 16.833
Er 2.394 0.000 2.275
Er 2.394 0.000 7.145
Er 2.394 0.000 11.963
Er 2.394 0.000 16.833
Tl 2.394 2.394 4.720
Tl 2.394 2.394 9.554
Tl 2.394 2.394 14.388
Zn 2.394 2.394 0.000
```

Values from the calculation:
Density of states at the Fermi level = 1.3653 states/eV per atom
Formation energy = -3.07 kcal/mol of atoms
SG = P4/mmm
Total moment = 0.14 μB per atom

***

Material: ErTlZn
Method: DFT, PBE-GGA
State: relaxed

The structure in extended XYZ format:
```
6
Lattice="4.697 0.000 0.000 -2.349 4.068 0.000 0.000 0.000 7.158" Properties=species:S:1:pos:R:3 pbc="T T T"
Er 0.000 0.000 0.000
Er 0.000 0.000 3.579
Tl 0.000 2.712 1.790
Tl 2.349 1.356 5.369
Zn 0.000 2.712 5.369
Zn 2.349 1.356 1.790
```

Values from the calculation:
Density of states at the Fermi level = 0.4581 states/eV per atom
Formation energy = -6.33 kcal/mol of atoms
SG = P6_3/mmc
Total moment = 0.00 μB per atom

***

Material: Er12TlZn6
Method: DFT, PBE-GGA
State: relaxed

The structure in extended XYZ format:
```
19
Lattice="-4.959 4.959 4.959 4.959 -4.959 4.959 4.959 4.959 -4.959" Properties=species:S:1:pos:R:3 pbc="T T T"
Er 4.959 3.046 -2.091
Er 2.868 0.000 1.913
Er 7.050 0.000 1.913
Er 1.913 2.868 0.000
Er 3.046 -2.091 4.959
Er 0.000 1.913 2.868
Er 4.959 3.046 2.091
Er 1.913 7.050 0.000
Er 3.046 2.091 4.959
Er -2.091 4.959 3.046
Er 2.091 4.959 3.046
Er 0.000 1.913 7.050
Tl 0.000 0.000 0.000
Zn 4.959 1.229 0.000
Zn 4.959 0.000 3.730
Zn 3.730 4.959 0.000
Zn 1.229 0.000 4.959
Zn 0.000 4.959 1.229
Zn 0.000 3.730 4.959
```

Values from the calculation:
Density of states at the Fermi level = 0.7392 states/eV per atom
Formation energy = -4.58 kcal/mol of atoms
SG = Im-3
Total moment = 0.00 μB per atom

***

Material: Er6TlZn2
Method: DFT, PBE-GGA
State: relaxed

The structure in extended XYZ format:
```
18
Lattice="-4.823 4.869 5.096 4.823 -4.869 5.096 4.823 4.869 -5.096" Properties=species:S:1:pos:R:3 pbc="T T T"
Er 4.823 -2.819 3.227
Er 2.826 0.000 2.449
Er 6.820 0.000 2.449
Er 3.044 2.685 0.000
Er 6.602 2.685 0.000
Er 0.000 2.050 1.868
Er 4.823 2.819 3.227
Er -1.779 2.183 5.096
Er 1.779 2.183 5.096
Er -1.997 4.869 2.647
Er 1.997 4.869 2.647
Er 0.000 7.688 1.868
Tl 4.823 0.000 0.000
Tl 0.000 4.869 0.000
Zn 1.325 0.000 0.000
Zn 8.321 0.000 0.000
Zn 0.000 0.000 3.833
Zn 0.000 0.000 6.358
```

Values from the calculation:
Density of states at the Fermi level = 0.9045 states/eV per atom
Formation energy = -5.22 kcal/mol of atoms
SG = Immm
Total moment = 0.00 μB per atom
Distance to the lowest polymorph of the same formula = 0.000 eV/atom

***

Material: ErTlZn
Method: DFT, PBE-GGA
State: relaxed

The structure in extended XYZ format:
```
3
Lattice="0.000 3.313 3.313 3.313 0.000 3.313 3.313 3.313 0.000" Properties=species:S:1:pos:R:3 pbc="T T T"
Er 0.000 0.000 0.000
Tl 3.313 3.313 3.313
Zn 1.656 1.656 1.656
```

Values from the calculation:
Density of states at the Fermi level = 0.2549 states/eV per atom
Formation energy = -5.36 kcal/mol of atoms
SG = F-43m
Total moment = 0.00 μB per atom

***

Material: ErTlZn
Method: DFT, PBE-GGA
State: relaxed

The structure in extended XYZ format:
```
3
Lattice="4.690 0.000 0.000 -2.345 4.062 0.000 0.000 0.000 3.607" Properties=species:S:1:pos:R:3 pbc="T T T"
Er 0.000 0.000 0.000
Tl 0.000 2.708 1.798
Zn 2.345 1.354 1.814
```

Values from the calculation:
Density of states at the Fermi level = 0.5907 states/eV per atom
Formation energy = -5.91 kcal/mol of atoms
SG = P3m1
Total moment = 0.00 μB per atom